VASP calculation (PBE-GGA) on HgMo2Pt after structural relaxation.

Cell and atoms, written as extended XYZ:
```
4
Lattice="9.876 0.018 0.011 9.462 2.830 0.011 9.462 1.394 2.463" Properties=species:S:1:pos:R:3 pbc="T T T"
Hg 21.621 3.185 1.865
Mo 28.695 4.227 2.476
Mo 7.126 1.050 0.615
Pt 14.556 2.144 1.256
```

ΔE to the lowest computed polymorph (eV/atom): 0.099
Crystal system: trigonal
V (Å³/cell): 68.1
ΔE_f (meV per atom): 254


VASP calculation (PBE-GGA) on TlAsI after structural relaxation.

Cell and atoms, written as extended XYZ:
```
6
Lattice="4.563 0.000 0.000 2.282 6.095 1.622 2.282 4.357 10.593" Properties=species:S:1:pos:R:3 pbc="T T T"
I 4.563 7.068 5.079
I 4.563 3.385 7.136
As 4.563 9.479 11.759
As 4.563 0.973 0.456
Tl 6.845 6.258 7.624
Tl 2.282 4.194 4.591
```

Crystal system: monoclinic
E_form (uncorrected) (eV per atom): -0.119
V (Å³/cell): 262.4


Number 1: uncorrected energy -6.7475 eV/atom, total magnetic moment 0.0 μB per cell. Number 2: uncorrected energy -2.9745 eV/atom, total magnetic moment 0.0 μB per cell.